Cs2AlBiRh | PBE | optimized geometry

## Properties
energy = -2.4974 eV/atom

a = 7.626 Å, b = 7.626 Å, c = 5.376 Å
α = 90.00°, β = 90.00°, γ = 90.00°
Space group P4/mmm (No. 123)
One atom of each set of equivalent atoms:
Cs  0.000  0.500  0.000 x2
Al  0.000  0.000  0.500 x1
Bi  0.000  0.000  0.000 x1
Rh  0.500  0.500  0.500 x1